[1]
PBE Pr2BePd6, optimized geometry; final energy = -5.723 eV per atom; ρ = 9.6 Mg/m³; ΔE_f = -785 meV/atom; volume = 160 Å³ per cell
1.0
-2.029 2.442 5.341
-2.462 -3.532 4.481
2.913 -0.970 5.272
Pd Pr Be
6 2 1
Direct
0.234 0.757 0.241 Pd
0.757 0.234 0.241 Pd
0.243 0.766 0.759 Pd
0.766 0.243 0.759 Pd
0.762 0.762 0.247 Pd
0.238 0.238 0.753 Pd
0.751 0.751 0.758 Pr
0.249 0.249 0.242 Pr
0.500 0.500 0.500 Be

[2]
PBE Ac3NdRh, optimized geometry; final energy = -5.143 eV per atom; E above lowest polymorph = 4.3 kJ/mol of atoms; ρ = 8.0 Mg/m³; ΔE_f = -254 meV/atom; volume = 385 Å³ per cell
1.0
5.929 0.000 0.000
0.000 8.058 -0.436
0.000 -0.069 8.068
Ac Nd Rh
6 2 2
Direct
0.543 0.421 0.592 Ac
0.043 0.162 0.380 Ac
0.543 0.950 0.121 Ac
0.043 0.669 0.873 Ac
0.543 0.942 0.600 Ac
0.543 0.440 0.102 Ac
0.043 0.685 0.373 Nd
0.043 0.169 0.857 Nd
0.543 0.694 0.848 Rh
0.043 0.412 0.130 Rh

[3]
PBE SrReSbTe2, optimized geometry; final energy = -2.875 eV per atom; E above lowest polymorph = 191.7 kJ/mol of atoms; E_form (uncorrected) = 2.0323 eV/atom; ρ = 5.5 Mg/m³; volume = 197 Å³ per cell
1.0
5.834 0.000 0.000
0.000 5.834 0.000
0.000 0.000 5.794
Te Sb Re Sr
2 1 1 1
Direct
0.000 0.500 0.000 Te
0.500 0.000 0.000 Te
0.000 0.000 0.500 Sb
0.500 0.500 0.500 Re
0.000 0.000 0.000 Sr

[4]
PBE K2BeCr, optimized geometry; final energy = -2.969 eV per atom; ρ = 1.6 Mg/m³; ΔE_f = 917 meV/atom; volume = 145 Å³ per cell
1.0
-3.478 -2.229 1.973
1.104 -4.362 -2.981
4.165 -4.122 2.685
K Be Cr
2 1 1
Direct
0.500 0.277 0.321 K
0.000 0.970 0.935 K
0.000 0.657 0.562 Be
0.500 0.596 0.682 Cr

[5]
PBE Eu3Th5H12, optimized geometry; final energy = -5.736 eV per atom; ρ = 8.5 Mg/m³; volume = 1270 Å³ per cell
1.0
-0.462 4.458 10.935
8.776 -7.886 -0.671
1.943 8.723 -7.732
H Th Eu
48 20 12
Direct
0.428 0.276 0.342 H
0.158 0.086 0.934 H
0.434 0.776 0.848 H
0.776 0.434 0.348 H
0.586 0.934 0.658 H
0.342 0.566 0.414 H
0.224 0.566 0.652 H
0.072 0.158 0.224 H
0.276 0.848 0.934 H
0.342 0.776 0.428 H
0.348 0.414 0.072 H
0.348 0.934 0.776 H
0.572 0.724 0.658 H
0.428 0.152 0.586 H
0.414 0.348 0.572 H
0.066 0.414 0.842 H
0.414 0.066 0.342 H
0.724 0.152 0.066 H
0.072 0.914 0.348 H
0.652 0.066 0.224 H
0.086 0.928 0.152 H
0.776 0.342 0.928 H
0.086 0.158 0.434 H
0.434 0.658 0.086 H
0.928 0.842 0.776 H
0.276 0.428 0.842 H
0.566 0.342 0.914 H
0.848 0.276 0.434 H
0.586 0.652 0.428 H
0.658 0.434 0.586 H
0.842 0.928 0.276 H
0.658 0.224 0.572 H
0.914 0.072 0.848 H
0.848 0.572 0.914 H
0.934 0.586 0.158 H
0.572 0.848 0.414 H
0.934 0.348 0.276 H
0.928 0.086 0.652 H
0.158 0.072 0.724 H
0.066 0.652 0.724 H
0.224 0.658 0.072 H
0.724 0.572 0.158 H
0.842 0.914 0.066 H
0.652 0.586 0.928 H
0.152 0.428 0.086 H
0.914 0.842 0.566 H
0.566 0.224 0.152 H
0.152 0.724 0.566 H
0.625 0.750 0.875 Th
0.000 0.000 0.000 Th
0.500 0.000 0.500 Th
0.125 0.750 0.375 Th
0.250 0.375 0.625 Th
0.750 0.625 0.375 Th
0.875 0.625 0.750 Th
0.125 0.375 0.250 Th
0.000 0.000 0.500 Th
0.500 0.000 0.000 Th
0.500 0.500 0.000 Th
0.250 0.875 0.125 Th
0.000 0.500 0.500 Th
0.875 0.250 0.625 Th
0.500 0.500 0.500 Th
0.625 0.875 0.250 Th
0.000 0.500 0.000 Th
0.750 0.125 0.875 Th
0.375 0.250 0.125 Th
0.375 0.125 0.750 Th
0.625 0.375 0.750 Eu
0.250 0.625 0.875 Eu
0.875 0.125 0.250 Eu
0.250 0.125 0.375 Eu
0.125 0.875 0.750 Eu
0.375 0.625 0.250 Eu
0.750 0.875 0.625 Eu
0.125 0.250 0.875 Eu
0.625 0.250 0.375 Eu
0.375 0.750 0.625 Eu
0.875 0.750 0.125 Eu
0.750 0.375 0.125 Eu

[6]
PBE Li2HgRhO, optimized geometry; final energy = -4.037 eV per atom; E_form (uncorrected) = -0.7493 eV/atom; ρ = 8.2 Mg/m³; volume = 67 Å³ per cell
1.0
-1.032 -0.566 -3.771
-3.100 -2.150 1.171
-2.424 3.565 0.129
Li Hg Rh O
2 1 1 1
Direct
0.000 0.500 0.000 Li
0.500 0.000 0.000 Li
0.500 0.500 0.500 Hg
0.000 0.000 0.500 Rh
0.000 0.000 0.000 O

[7]
PBE AcNd2Pb9, optimized geometry; final energy = -4.303 eV per atom; ρ = 10.7 Mg/m³; ΔE_f = -385 meV/atom; volume = 369 Å³ per cell
1.0
4.986 0.000 0.000
0.000 4.986 0.000
0.000 0.000 14.863
Pb Nd Ac
9 2 1
Direct
0.500 0.500 0.336 Pb
0.500 0.500 0.664 Pb
0.500 0.000 0.500 Pb
0.500 0.000 0.173 Pb
0.500 0.000 0.827 Pb
0.000 0.500 0.827 Pb
0.500 0.500 0.000 Pb
0.000 0.500 0.173 Pb
0.000 0.500 0.500 Pb
0.000 0.000 0.337 Nd
0.000 0.000 0.663 Nd
0.000 0.000 0.000 Ac

[8]
PBE LaTaPt2, optimized geometry; final energy = -7.561 eV per atom; E above lowest polymorph = 41.4 kJ/mol of atoms; ρ = 14.3 Mg/m³; ΔE_f = -346 meV/atom; volume = 82 Å³ per cell
1.0
-4.558 0.076 1.743
-2.947 3.750 -1.036
-3.780 -0.629 -3.023
Pt La Ta
2 1 1
Direct
0.750 0.750 0.750 Pt
0.250 0.250 0.250 Pt
0.000 0.000 0.000 La
0.500 0.500 0.500 Ta

[9]
PBE Ba8As3HI4, optimized geometry; final energy = -3.706 eV per atom; ρ = 4.7 Mg/m³; volume = 653 Å³ per cell
1.0
-1.789 0.030 -9.387
4.172 -8.967 -0.824
-7.149 1.196 6.231
I As Ba H
4 3 8 1
Direct
0.500 0.000 0.500 I
0.000 0.000 0.500 I
0.000 0.000 0.000 I
0.500 0.000 0.000 I
0.500 0.500 0.500 As
0.000 0.500 0.500 As
0.500 0.500 0.000 As
0.761 0.290 0.030 Ba
0.269 0.290 0.030 Ba
0.240 0.710 0.480 Ba
0.737 0.712 0.474 Ba
0.760 0.290 0.520 Ba
0.263 0.288 0.526 Ba
0.239 0.710 0.970 Ba
0.731 0.710 0.970 Ba
0.000 0.500 0.000 H

[10]
PBE Cd2TcNi, optimized geometry; final energy = -4.102 eV per atom; E above lowest polymorph = 21.4 kJ/mol of atoms; ρ = 9.6 Mg/m³; ΔE_f = 393 meV/atom; volume = 66 Å³ per cell
1.0
5.063 0.007 0.000
-1.799 4.733 0.000
0.000 0.000 2.743
Cd Tc Ni
2 1 1
Direct
0.000 0.000 0.000 Cd
0.500 0.500 0.000 Cd
0.000 0.500 0.500 Tc
0.500 0.000 0.500 Ni

[11]
PBE Ca5Ag2Au12, optimized geometry; final energy = -3.427 eV per atom; ρ = 11.2 Mg/m³; ΔE_f = -530 meV/atom; volume = 413 Å³ per cell
1.0
7.101 0.028 0.440
-0.242 6.611 3.483
-0.108 -0.318 8.620
Au Ag Ca
12 2 5
Direct
0.317 0.444 0.111 Au
0.352 0.403 0.786 Au
0.901 0.881 0.238 Au
0.648 0.189 0.214 Au
0.648 0.597 0.214 Au
0.248 0.664 0.300 Au
0.248 0.036 0.300 Au
0.352 0.811 0.786 Au
0.683 0.556 0.889 Au
0.752 0.336 0.700 Au
0.099 0.119 0.762 Au
0.752 0.964 0.700 Au
0.000 0.292 0.000 Ag
0.000 0.708 0.000 Ag
0.564 0.754 0.493 Ca
0.959 0.311 0.378 Ca
0.436 0.246 0.507 Ca
0.500 0.000 0.000 Ca
0.041 0.689 0.622 Ca

[12]
PBE CrTeRu2, optimized geometry; final energy = -7.336 eV per atom; E_form (uncorrected) = 0.4936 eV/atom; ρ = 10.4 Mg/m³; volume = 61 Å³ per cell
1.0
3.062 0.000 0.000
0.000 4.531 0.000
0.000 0.000 4.397
Ru Cr Te
2 1 1
Direct
0.500 0.500 0.000 Ru
0.000 0.000 0.000 Ru
0.000 0.500 0.500 Cr
0.500 0.000 0.500 Te

ρ of number 11 (Ca5Ag2Au12)?
11.2 Mg/m³

What is the formula in the tenth record?
Cd2TcNi